# CrPtSe

Crystalline CrPtSe at its relaxed geometry (PBE, Alexandria).

Calculated values
The total energy is -6.344 eV/atom. The energy above the lowest structure with this stoichiometry comes out at 0.16 eV/f.u. Its volume is 51.9 Å³ per cell. The density comes out at 10.43 g cm⁻³. Its uncorrected formation energy is 0.04 eV/atom.

a = 3.8732 Å, b = 3.8732 Å, c = 3.9956 Å
α = 90.00°, β = 90.00°, γ = 120.00°
Space group P3m1 (No. 156)
Inequivalent atoms, fractional coordinates:
Cr: 0.0000 0.0000 0.0000 [1 per cell]
Pt: 0.6667 0.3333 0.3509 [1 per cell]
Se: 0.3333 0.6667 0.7090 [1 per cell]